1.
Compound: ZnRhAu
Source: the Alexandria database
Functional: GGA-PBE
Structure: optimized geometry

Values from the calculation:
Its polymorph energy (0 for the lowest one) is 0.23 eV/f.u. Its total DFT energy (no corrections) is -0.2996 Ry/atom. Its crystal system is trigonal. The symmetry is No. 156. The value obtained for the energy of formation is -0.1081 eV/atom.

Unit cell a=2.8564 b=2.8564 c=6.5718 alpha=90.00 beta=90.00 gamma=120.00
Closest atoms and distances in Å follow each position.
Fractional coordinates of all 3 atoms:
1 Au 0.0000 0.0000 0.9928  3 Zn 2.77, 6 Au 2.86, 3 Rh 2.88
2 Rh 0.6667 0.3333 0.3523  3 Zn 2.58, 6 Rh 2.86, 3 Au 2.88
3 Zn 0.3333 0.6667 0.6548  3 Rh 2.58, 3 Au 2.77, 6 Zn 2.86


2.
Compound: PrEr3Th2P6
Source: the Alexandria database
Functional: GGA-PBE
Structure: optimized geometry

Values from the calculation:
Its total DFT energy (no corrections) is -0.5190 Ry/atom. Its crystal system is monoclinic. The symmetry is No. 12. The value obtained for the energy of formation is -1.5802 eV/atom.

Unit cell a=4.0772 b=8.1133 c=9.0808 alpha=102.58 beta=102.97 gamma=90.00
Closest atoms and distances in Å follow each position.
Fractional coordinates of all 12 atoms:
1 Th 0.8343 0.6689 0.6686  6 P 2.89-2.92
2 Th 0.1657 0.3311 0.3314  6 P 2.89-2.92
3 Er 0.5000 0.5000 0.0000  6 P 2.82-2.85
4 Er 0.8346 0.1666 0.6691  6 P 2.83-2.85
5 Er 0.1654 0.8334 0.3309  6 P 2.83-2.85
6 P 0.6649 0.5880 0.3299  3 Er 2.85, 3 Th 2.92
7 P 0.9984 0.2596 0.9968  3 Er 2.82-2.83, 1 Th 2.89, 2 Pr 2.94
8 P 0.0016 0.7404 0.0032  3 Er 2.82-2.83, 1 Th 2.89, 2 Pr 2.94
9 P 0.3351 0.4120 0.6701  3 Er 2.85, 3 Th 2.92
10 P 0.3297 0.9209 0.6593  3 Er 2.83-2.84, 2 Th 2.90, 1 Pr 2.94
11 P 0.6703 0.0791 0.3407  3 Er 2.83-2.84, 2 Th 2.90, 1 Pr 2.94
12 Pr 0.5000 0.0000 0.0000  6 P 2.94


3.
Compound: Rb2LiCdF6
Source: the Alexandria database
Functional: GGA-PBE
Structure: optimized geometry

Values from the calculation:
As for the uncorrected formation energy: -2.37 eV per atom. Its total DFT energy (no corrections) is -0.2916 Ry/atom. Its crystal system is cubic. The symmetry is No. 225.

Unit cell a=6.0751 b=6.0751 c=6.0755 alpha=59.99 beta=59.99 gamma=89.98
Closest atoms and distances in Å follow each position.
Fractional coordinates of all 10 atoms:
1 F 0.2456 0.2456 0.0000  1 Li 2.11, 1 Cd 2.19
2 F 0.2455 0.7545 0.0000  1 Li 2.11, 1 Cd 2.19
3 F 0.7544 0.7544 0.0000  1 Li 2.11, 1 Cd 2.19
4 F 0.2455 0.2455 0.5089  1 Li 2.11, 1 Cd 2.19
5 F 0.7545 0.2455 0.0000  1 Li 2.11, 1 Cd 2.19
6 F 0.7545 0.7545 0.4911  1 Li 2.11, 1 Cd 2.19
7 Rb 0.2500 0.7500 0.5000  12 F 3.04
8 Rb 0.7500 0.2500 0.5000  12 F 3.04
9 Cd 0.5000 0.5000 0.0000  6 F 2.19
10 Li 0.0000 0.0000 0.0000  6 F 2.11


4.
Compound: Tl6HgAu2
Source: the Alexandria database
Functional: GGA-PBE
Structure: optimized geometry

Values from the calculation:
Its polymorph energy (0 for the lowest one) is 0.14 eV/f.u. Its total DFT energy (no corrections) is -0.1717 Ry/atom. Its crystal system is monoclinic. The symmetry is No. 12. The value obtained for the energy of formation is 0.0039 eV/atom.

Unit cell a=5.7667 b=6.4008 c=8.2315 alpha=78.82 beta=69.50 gamma=63.23
Closest atoms and distances in Å follow each position.
Fractional coordinates of all 9 atoms:
1 Tl 0.5777 0.7393 0.1053  3 Au 3.05-3.10, 1 Hg 3.28, 2 Tl 3.33-3.38
2 Tl 0.8156 0.8104 0.5583  2 Au 2.99-3.09
3 Tl 0.8333 0.1523 0.1811  2 Au 3.12-3.15, 1 Hg 3.23, 3 Tl 3.35-3.43
4 Tl 0.1844 0.1896 0.4417  2 Au 2.99-3.09
5 Tl 0.1667 0.8477 0.8189  2 Au 3.12-3.15, 1 Hg 3.23, 3 Tl 3.35-3.43
6 Tl 0.4223 0.2607 0.8947  3 Au 3.05-3.10, 1 Hg 3.28, 2 Tl 3.33-3.38
7 Au 0.8995 0.3944 0.8066  7 Tl 2.99-3.15
8 Au 0.1005 0.6056 0.1934  7 Tl 2.99-3.15
9 Hg 0.5000 0.5000 0.5000  8 Tl 3.23-3.43


5.
Compound: LiMgRu
Source: the Alexandria database
Functional: GGA-PBE
Structure: optimized geometry

Values from the calculation:
Its polymorph energy (0 for the lowest one) is 0.18 eV/f.u. Its total DFT energy (no corrections) is -0.3012 Ry/atom. Its crystal system is monoclinic. The symmetry is No. 11. The value obtained for the energy of formation is 0.1640 eV/atom.

Unit cell a=4.6153 b=3.0166 c=9.9124 alpha=107.75 beta=134.18 gamma=89.96
Closest atoms and distances in Å follow each position.
Fractional coordinates of all 6 atoms:
1 Ru 0.7421 0.9103 0.1606  2 Ru 2.56, 4 Li 2.76, 2 Mg 2.81
2 Ru 0.2579 0.0897 0.8394  2 Ru 2.56, 4 Li 2.76, 2 Mg 2.81
3 Mg 0.7066 0.2210 0.4710  2 Li 2.64, 4 Mg 2.78, 2 Ru 2.81
4 Mg 0.2934 0.7790 0.5290  2 Li 2.64, 4 Mg 2.78, 2 Ru 2.81
5 Li 0.2038 0.3849 0.1351  2 Li 2.30
6 Li 0.7962 0.6151 0.8649  2 Li 2.30


6.
Compound: PuNi4B2
Source: the Alexandria database
Functional: GGA-PBE
Structure: optimized geometry

Values from the calculation:
Its total DFT energy (no corrections) is -0.5345 Ry/atom. Its crystal system is monoclinic. The symmetry is No. 12. The value obtained for the energy of formation is -0.0136 eV/atom.

Unit cell a=5.0552 b=4.3826 c=5.0552 alpha=117.34 beta=121.27 gamma=62.66
Closest atoms and distances in Å follow each position.
Fractional coordinates of all 7 atoms:
1 Ni 0.9157 0.3359 0.5759  2 B 2.12-2.17
2 Ni 0.4241 0.3359 0.0843  2 B 2.12-2.17
3 Ni 0.5759 0.6641 0.9157  2 B 2.12-2.17
4 Ni 0.0843 0.6641 0.4241  2 B 2.12-2.17
5 Pu 0.0000 0.0000 0.0000  4 B 2.64, 12 Ni 2.76-2.88
6 B 0.6101 0.7963 0.3899  1 B 1.82
7 B 0.3899 0.2037 0.6101  1 B 1.82


7.
Compound: Tl2BiSeO6
Source: the Alexandria database
Functional: GGA-PBE
Structure: optimized geometry

Values from the calculation:
As for the uncorrected formation energy: -0.60 eV per atom. Its total DFT energy (no corrections) is -0.3516 Ry/atom. Its crystal system is cubic. The symmetry is No. 225.

Unit cell a=5.8874 b=5.8873 c=5.8930 alpha=60.01 beta=60.01 gamma=90.00
Closest atoms and distances in Å follow each position.
Fractional coordinates of all 10 atoms:
1 O 0.2779 0.2779 0.4441  1 Se 1.85
2 O 0.7225 0.7221 0.9996  1 Se 1.85
3 O 0.2775 0.2779 0.0004  1 Se 1.85
4 O 0.2782 0.7222 0.0000  1 Se 1.85
5 O 0.7221 0.7221 0.5559  1 Se 1.85
6 O 0.7218 0.2778 0.0000  1 Se 1.85
7 Bi 0.0000 0.0000 0.0000  6 O 2.31-2.32
8 Tl 0.7499 0.2501 0.5000  12 O 2.95-2.96
9 Tl 0.2501 0.7499 0.5000  12 O 2.95-2.96
10 Se 0.5000 0.5000 0.0000  6 O 1.85


8.
Compound: Tl2CoSe
Source: the Alexandria database
Functional: GGA-PBE
Structure: optimized geometry

Values from the calculation:
Its polymorph energy (0 for the lowest one) is 0.30 eV/f.u. As for the uncorrected formation energy: 0.08 eV per atom. Its total DFT energy (no corrections) is -0.2756 Ry/atom. Its crystal system is monoclinic. The symmetry is No. 8.

Unit cell a=5.1675 b=5.1675 c=6.4401 alpha=66.73 beta=66.73 gamma=37.86
Closest atoms and distances in Å follow each position.
Fractional coordinates of all 4 atoms:
1 Tl 0.9764 0.9764 0.9930  2 Co 3.05, 3 Se 3.14-3.39, 3 Tl 3.29-3.35
2 Tl 0.8089 0.8089 0.6433  3 Co 2.69-2.84
3 Co 0.5607 0.5607 0.5618  2 Se 2.27
4 Se 0.1540 0.1540 0.3020  2 Co 2.27


9.
Compound: MgTlZn2Co
Source: the Alexandria database
Functional: GGA-PBE
Structure: optimized geometry

Values from the calculation:
Its total DFT energy (no corrections) is -0.1184 Ry/atom. Its crystal system is tetragonal. The symmetry is No. 123. The value obtained for the energy of formation is 1.1125 eV/atom.

Unit cell a=4.9526 b=5.4598 c=4.9526 alpha=90.00 beta=90.00 gamma=90.00
Closest atoms and distances in Å follow each position.
Fractional coordinates of all 5 atoms:
1 Co 0.5000 0.5000 0.5000  4 Tl 3.50, 8 Zn 3.69
2 Zn 0.0000 0.0000 0.5000  2 Mg 2.48
3 Zn 0.5000 0.0000 0.0000  2 Mg 2.48
4 Mg 0.0000 0.0000 0.0000  4 Zn 2.48, 2 Tl 2.73
5 Tl 0.0000 0.5000 0.0000  2 Mg 2.73


10.
Compound: Ca2SiIr
Source: the Alexandria database
Functional: GGA-PBE
Structure: optimized geometry

Values from the calculation:
As for the uncorrected formation energy: 0.09 eV per atom. Its total DFT energy (no corrections) is -0.3293 Ry/atom. Its crystal system is trigonal. The symmetry is No. 166.

Unit cell a=9.1993 b=9.1993 c=9.1993 alpha=21.20 beta=21.20 gamma=21.20
Closest atoms and distances in Å follow each position.
Fractional coordinates of all 4 atoms:
1 Ir 0.2500 0.2500 0.2500  6 Ca 2.88
2 Ca 0.5046 0.5046 0.5046  3 Ir 2.88, 3 Si 3.07
3 Ca 0.9954 0.9954 0.9954  3 Ir 2.88, 3 Si 3.07
4 Si 0.7500 0.7500 0.7500  6 Ca 3.07, 6 Si 3.38


11.
Compound: TaOsRh2S
Source: the Alexandria database
Functional: GGA-PBE
Structure: optimized geometry

Values from the calculation:
As for the uncorrected formation energy: 1.46 eV per atom. Its total DFT energy (no corrections) is -0.5090 Ry/atom. Its crystal system is tetragonal. The symmetry is No. 123.

Unit cell a=4.7136 b=4.8307 c=4.7136 alpha=90.00 beta=90.00 gamma=90.00
Closest atoms and distances in Å follow each position.
Fractional coordinates of all 5 atoms:
1 Rh 0.0000 0.0000 0.5000  2 Os 2.36
2 Rh 0.5000 0.0000 0.0000  2 Os 2.36
3 Ta 0.0000 0.5000 0.0000  2 Os 2.42
4 Os 0.0000 0.0000 0.0000  4 Rh 2.36, 2 Ta 2.42
5 S 0.5000 0.5000 0.5000  4 Ta 3.33, 8 Rh 3.37


12.
Compound: LaPrNd2In
Source: the Alexandria database
Functional: GGA-PBE
Structure: optimized geometry

Values from the calculation:
Its total DFT energy (no corrections) is -0.3206 Ry/atom. Its crystal system is orthorhombic. The symmetry is No. 63. The value obtained for the energy of formation is 0.0340 eV/atom.

Unit cell a=6.7771 b=6.7077 c=8.4561 alpha=113.37 beta=90.00 gamma=90.00
Closest atoms and distances in Å follow each position.
Fractional coordinates of all 10 atoms:
1 Nd 0.0000 0.7416 0.0000  4 Nd 3.24-3.47, 2 In 3.29, 2 Pr 3.42
2 Nd 0.5000 0.7416 0.0000  4 Nd 3.24-3.47, 2 In 3.29, 2 Pr 3.42
3 Nd 0.0000 0.2584 0.0000  4 Nd 3.24-3.47, 2 In 3.29, 2 Pr 3.42
4 Nd 0.5000 0.2584 0.0000  4 Nd 3.24-3.47, 2 In 3.29, 2 Pr 3.42
5 La 0.7500 0.7473 0.4946  4 Pr 3.65-3.71, 4 In 3.72
6 La 0.2500 0.2527 0.5054  4 Pr 3.65-3.71, 4 In 3.72
7 In 0.7500 0.3510 0.7020  1 Pr 3.04, 4 Nd 3.29
8 In 0.2500 0.6490 0.2980  1 Pr 3.04, 4 Nd 3.29
9 Pr 0.7500 0.1553 0.3106  1 In 3.04
10 Pr 0.2500 0.8447 0.6894  1 In 3.04